[1]
Y4ZrAl (PBE, relaxed); symmetry = F-43m (216); calculated total energy = -35.5 eV per cell
1.0
4.297 -2.363 -3.850
1.951 -5.875 0.735
-1.601 -4.359 -4.159
Y Al Zr
4 1 1
Direct
0.873 0.376 0.376
0.376 0.376 0.376
0.376 0.376 0.873
0.376 0.873 0.376
0.000 0.000 0.000
0.750 0.750 0.750

***

[2]
YZrAl (PBE, relaxed); symmetry = I4mm (107); polymorph energy (0 for the lowest one) = 0 meV per atom
1.0
6.944 -0.028 0.030
6.181 3.164 0.035
0.763 0.174 3.188
Al Zr Y
1 1 1
Direct
0.007 0.007 0.993
0.652 0.652 0.348
0.341 0.341 0.659

***

[3]
YZrAl4 (PBE, relaxed); symmetry = F-43m (216); calculated total energy = -33.1 eV per cell
1.0
5.443 0.000 0.000
2.722 4.714 0.000
2.722 1.571 4.444
Al Y Zr
4 1 1
Direct
0.124 0.625 0.625
0.625 0.625 0.124
0.625 0.124 0.625
0.625 0.625 0.625
0.250 0.250 0.250
0.000 0.000 0.000

***

[4]
YZr2Al (PBE, relaxed); symmetry = P4/mmm (123); calculated total energy = -28.0 eV per cell
1.0
4.506 0.000 0.000
0.000 4.491 0.000
0.000 0.000 4.491
Al Zr Y
1 2 1
Direct
0.500 0.500 0.000
0.000 0.500 0.500
0.000 0.000 0.000
0.500 0.000 0.500

***

[5]
YZr2Al (PBE, relaxed); symmetry = P4/mmm (123); calculated total energy = -27.8 eV per cell
1.0
-1.472 -2.121 -1.794
0.283 -2.134 2.291
-8.226 2.712 3.544
Al Zr Y
1 2 1
Direct
0.500 0.500 0.250
0.000 0.000 0.460
0.000 0.000 0.040
0.500 0.500 0.750

***

[6]
YbAl3 (PBE, relaxed); symmetry = Pm-3m (221); calculated total energy = -14.1 eV per cell
1.0
-3.592 2.097 0.806
-1.476 -3.348 2.134
1.693 1.529 3.570
Al Yb
3 1
Direct
0.000 0.500 0.500
0.500 0.500 0.000
0.500 0.000 0.500
0.000 0.000 0.000

***

[7]
Yb4Al (PBE, relaxed); symmetry = Fd-3m (227); calculated total energy = -16.7 eV per cell
1.0
0.000 5.820 5.820
5.820 0.000 5.820
5.820 5.820 0.000
Yb Al
8 2
Direct
0.392 0.392 0.824
0.392 0.824 0.392
0.824 0.392 0.392
0.426 0.858 0.858
0.392 0.392 0.392
0.858 0.858 0.426
0.858 0.426 0.858
0.858 0.858 0.858
0.250 0.250 0.250
0.000 0.000 0.000

***

[8]
YbAl2 (PBE, relaxed); symmetry = Fd-3m (227); calculated total energy = -20.7 eV per cell
1.0
-0.282 4.028 -3.845
2.763 -0.541 -4.812
-2.803 -0.864 -4.742
Yb Al
2 4
Direct
0.750 0.750 0.750
0.500 0.500 0.500
0.125 0.125 0.125
0.125 0.625 0.125
0.125 0.125 0.625
0.625 0.125 0.125

***

Results for total magnetic moment: 1.52 0.00 0.00 0.00 0.00 0.03 1.37 0.01 (in μB/cell, following the order of the records).